[1]
NaVHg | PBE | relaxed

Summary:
- M_tot (μB per formula unit) = 3.31
- energy of formation from the pure elements (meV/atom) = 512
- Fermi-level density of states (states/eV/f.u.) = 3.18
- energy (eV per atom) = -3.068
- theoretical density (Mg/m³) = 5.85
- symmetry = Cmcm, No. 63
- energy above the most stable polymorph in this dataset (eV per atom) = 0.383

POSCAR file:
```
NaVHg
1.0
2.422 -5.606 0.000
2.422 5.606 0.000
0.000 0.000 5.735
Na V Hg
2 2 2
Direct
0.242 0.758 0.750
0.758 0.242 0.250
0.028 0.972 0.250
0.972 0.028 0.750
0.500 0.500 0.000
0.500 0.500 0.500
```

---

[2]
NaVHg | PBE | relaxed

Summary:
- M_tot (μB per formula unit) = 0.00
- energy of formation from the pure elements (meV/atom) = 129
- Fermi-level density of states (states/eV/f.u.) = 1.36
- energy (eV per atom) = -3.451
- theoretical density (Mg/m³) = 7.11
- symmetry = C2/m, No. 12
- energy above the most stable polymorph in this dataset (eV per atom) = 0.000

POSCAR file:
```
NaVHg
1.0
2.265 -2.265 0.000
2.265 2.265 0.000
-0.020 0.000 12.493
Na V Hg
2 2 2
Direct
0.248 0.248 0.124
0.752 0.752 0.876
0.250 0.250 0.458
0.750 0.750 0.542
0.251 0.251 0.695
0.749 0.749 0.305
```

---

[3]
NaVHg | PBE | relaxed

Summary:
- M_tot (μB per formula unit) = 0.00
- energy of formation from the pure elements (meV/atom) = 298
- Fermi-level density of states (states/eV/f.u.) = 1.54
- energy (eV per atom) = -3.282
- theoretical density (Mg/m³) = 6.97
- symmetry = P1, No. 1
- energy above the most stable polymorph in this dataset (eV per atom) = 0.169

POSCAR file:
```
NaVHg
1.0
3.009 0.000 0.000
-0.009 5.222 0.000
-0.538 -1.685 8.324
Na V Hg
2 2 2
Direct
0.000 0.000 0.000
0.002 0.580 0.247
0.085 0.380 0.619
0.416 0.443 0.820
0.531 0.108 0.340
0.579 0.886 0.657
```

---

[4]
NaVHg | PBE | relaxed

Summary:
- M_tot (μB per formula unit) = 0.00
- energy of formation from the pure elements (meV/atom) = 317
- Fermi-level density of states (states/eV/f.u.) = 2.01
- energy (eV per atom) = -3.263
- theoretical density (Mg/m³) = 7.34
- symmetry = Pnma, No. 62
- energy above the most stable polymorph in this dataset (eV per atom) = 0.187

POSCAR file:
```
NaVHg
1.0
8.977 0.000 0.000
0.000 3.022 0.000
0.000 0.000 9.159
Na V Hg
4 4 4
Direct
0.069 0.250 0.156
0.431 0.750 0.656
0.569 0.250 0.344
0.931 0.750 0.844
0.079 0.250 0.553
0.421 0.750 0.053
0.579 0.250 0.947
0.921 0.750 0.447
0.231 0.250 0.860
0.269 0.750 0.360
0.731 0.250 0.640
0.769 0.750 0.140
```

---

Question: Which value of energy does entry 1 give?
Answer: -3.068 eV per atom

---

Question: Look up the theoretical density of the third one.
Answer: 6.97 Mg/m³